Entry 1:
## Tb2PrNd (PBE)

Data for a relaxed Tb2PrNd crystal.

Results
The density of states at the Fermi level is 7.91 states/eV/f.u. As for the total magnetization: 0.0 μB per formula unit. Its crystal system is cubic. The calculation puts the formation energy at 119 meV/atom. The total energy is -4.583 eV/atom.

Cell: 5.7660 5.7660 5.7660 Å, 60.00 60.00 60.00°
With the nearest neighbours (Å) after each atom.
Atoms (fractional coordinates):
Tb  0.2500  0.2500  0.2500  4 Nd 3.53, 4 Pr 3.53
Tb  0.7500  0.7500  0.7500  4 Nd 3.53, 4 Pr 3.53
Pr  0.0000  0.0000  0.0000  8 Tb 3.53
Nd  0.5000  0.5000  0.5000  8 Tb 3.53


Entry 2:
## Tb5PrNd8 (PBE)

Data for a relaxed Tb5PrNd8 crystal.

Results
The density of states at the Fermi level is 20.88 states/eV/f.u. As for the total magnetization: 0.0 μB per formula unit. Its crystal system is tetragonal. The calculation puts the formation energy at 232 meV/atom. The total energy is -4.487 eV/atom.

Cell: 8.6183 8.6183 8.6183 Å, 111.55 111.55 105.39°
With the nearest neighbours (Å) after each atom.
Atoms (fractional coordinates):
Tb  0.0000  0.0000  0.0000  8 Nd 3.22-3.40
Tb  0.2225  0.5369  0.9036  8 Nd 3.41-3.65, 2 Tb 3.53
Tb  0.4631  0.3667  0.6856  8 Nd 3.41-3.65, 2 Tb 3.53
Tb  0.6333  0.3189  0.0964  8 Nd 3.41-3.65, 2 Tb 3.53
Tb  0.6811  0.7775  0.3144  8 Nd 3.41-3.65, 2 Tb 3.53
Pr  0.2500  0.7500  0.5000  4 Nd 3.22
Nd  0.1605  0.0679  0.7345  4 Tb 3.22-3.56, 1 Pr 3.22
Nd  0.3334  0.4259  0.2655  4 Tb 3.22-3.56, 1 Pr 3.22
Nd  0.4270  0.0314  0.2545  5 Tb 3.40-3.62, 3 Nd 3.66-3.68
Nd  0.5741  0.8395  0.9075  4 Tb 3.22-3.56, 1 Pr 3.22
Nd  0.7770  0.1725  0.7455  5 Tb 3.40-3.62, 3 Nd 3.66-3.68
Nd  0.8275  0.5730  0.6045  5 Tb 3.40-3.62, 3 Nd 3.66-3.68
Nd  0.9321  0.6666  0.0925  4 Tb 3.22-3.56, 1 Pr 3.22
Nd  0.9686  0.2230  0.3955  5 Tb 3.40-3.62, 3 Nd 3.66-3.68